Record 1
The following is a DFT calculation (GGA-PBE) of a geometry-optimized AcPr2SmSb4 structure.

* E_form (uncorrected): -1.175 eV/atom

Lattice parameters (Å, degrees): 4.6027 7.9683 7.9672 70.58 90.00 90.00
Last column: nearest neighbours and their distance in Å.
Positions (direct):
Ac  0.5000  0.5000  0.0000  6 Sb 3.30-3.31
Pr  0.0000  0.0000  0.0000  6 Sb 3.28
Pr  0.5000  0.0000  0.5000  6 Sb 3.20
Sm  0.0000  0.5000  0.5000  6 Sb 3.23
Sb  0.0000  0.7565  0.7398  3 Pr 3.20-3.28, 1 Sm 3.23, 2 Ac 3.31
Sb  0.0000  0.2435  0.2602  3 Pr 3.20-3.28, 1 Sm 3.23, 2 Ac 3.31
Sb  0.5000  0.7505  0.2576  3 Pr 3.20-3.28, 2 Sm 3.23, 1 Ac 3.30
Sb  0.5000  0.2495  0.7424  3 Pr 3.20-3.28, 2 Sm 3.23, 1 Ac 3.30

Record 2
The following is a DFT calculation (GGA-PBE) of a geometry-optimized Ac2PrSmSb4 structure.

* E_form (uncorrected): -1.187 eV/atom

Lattice parameters (Å, degrees): 4.6590 8.0739 8.0643 70.56 90.00 90.00
Last column: nearest neighbours and their distance in Å.
Positions (direct):
Ac  0.0000  0.0000  0.0000  6 Sb 3.37
Ac  0.5000  0.0000  0.5000  6 Sb 3.35
Pr  0.5000  0.5000  0.0000  6 Sb 3.24
Sm  0.0000  0.5000  0.5000  6 Sb 3.21-3.22
Sb  0.0000  0.7357  0.7523  1 Sm 3.21, 2 Pr 3.24, 3 Ac 3.35-3.37
Sb  0.0000  0.2644  0.2477  1 Sm 3.21, 2 Pr 3.24, 3 Ac 3.35-3.37
Sb  0.5000  0.7341  0.2576  2 Sm 3.22, 1 Pr 3.24, 3 Ac 3.35-3.37
Sb  0.5000  0.2659  0.7424  2 Sm 3.22, 1 Pr 3.24, 3 Ac 3.35-3.37

Record 3
The following is a DFT calculation (GGA-PBE) of a geometry-optimized AcPrSm2Sb4 structure.

* E_form (uncorrected): -1.175 eV/atom

Lattice parameters (Å, degrees): 4.5793 7.9267 7.9304 70.55 90.00 90.00
Last column: nearest neighbours and their distance in Å.
Positions (direct):
Ac  0.5000  0.5000  0.0000  6 Sb 3.31-3.32
Pr  0.0000  0.5000  0.5000  6 Sb 3.26
Sm  0.0000  0.0000  0.0000  6 Sb 3.21-3.22
Sm  0.5000  0.0000  0.5000  6 Sb 3.16
Sb  0.0000  0.7637  0.7399  3 Sm 3.16-3.21, 1 Pr 3.26, 2 Ac 3.32
Sb  0.0000  0.2363  0.2601  3 Sm 3.16-3.21, 1 Pr 3.26, 2 Ac 3.32
Sb  0.5000  0.7594  0.2522  3 Sm 3.16-3.22, 2 Pr 3.26, 1 Ac 3.31
Sb  0.5000  0.2406  0.7478  3 Sm 3.16-3.22, 2 Pr 3.26, 1 Ac 3.31

Record 4
The following is a DFT calculation (GGA-PBE) of a geometry-optimized AcTb2PrSb4 structure.

* E_form (uncorrected): -1.157 eV/atom

Lattice parameters (Å, degrees): 4.5467 7.8614 7.8755 70.53 90.00 90.00
Last column: nearest neighbours and their distance in Å.
Positions (direct):
Ac  0.5000  0.5000  0.0000  6 Sb 3.31
Tb  0.0000  0.0000  0.0000  6 Sb 3.17
Tb  0.5000  0.0000  0.5000  6 Sb 3.12
Pr  0.0000  0.5000  0.5000  6 Sb 3.26
Sb  0.0000  0.7683  0.7384  3 Tb 3.12-3.17, 1 Pr 3.26, 2 Ac 3.31
Sb  0.0000  0.2317  0.2616  3 Tb 3.12-3.17, 1 Pr 3.26, 2 Ac 3.31
Sb  0.5000  0.7639  0.2508  3 Tb 3.12-3.17, 2 Pr 3.26, 1 Ac 3.31
Sb  0.5000  0.2361  0.7492  3 Tb 3.12-3.17, 2 Pr 3.26, 1 Ac 3.31

Record 5
The following is a DFT calculation (GGA-PBE) of a geometry-optimized AcPrSbTe structure.

* E_form (uncorrected): -1.157 eV/atom

Lattice parameters (Å, degrees): 5.6659 5.6659 5.6659 60.00 60.00 60.00
Last column: nearest neighbours and their distance in Å.
Positions (direct):
Pr  0.0000  0.0000  0.0000  4 Sb 3.47, 4 Te 3.47
Sb  0.2500  0.2500  0.2500  4 Ac 3.47, 4 Pr 3.47
Ac  0.5000  0.5000  0.5000  4 Te 3.47, 4 Sb 3.47
Te  0.7500  0.7500  0.7500  4 Ac 3.47, 4 Pr 3.47

Record 6
The following is a DFT calculation (GGA-PBE) of a geometry-optimized AcPrTh2Sb4 structure.

* E_form (uncorrected): -1.055 eV/atom

Lattice parameters (Å, degrees): 4.5860 7.9661 7.9391 70.55 90.00 90.00
Last column: nearest neighbours and their distance in Å.
Positions (direct):
Ac  0.5000  0.5000  0.0000  6 Sb 3.32
Pr  0.0000  0.5000  0.5000  6 Sb 3.27
Th  0.0000  0.0000  0.0000  6 Sb 3.22-3.23
Th  0.5000  0.0000  0.5000  6 Sb 3.18
Sb  0.0000  0.7626  0.7408  3 Th 3.18-3.23, 1 Pr 3.27, 2 Ac 3.32
Sb  0.0000  0.2374  0.2592  3 Th 3.18-3.23, 1 Pr 3.27, 2 Ac 3.32
Sb  0.5000  0.7587  0.2519  3 Th 3.18-3.22, 2 Pr 3.27, 1 Ac 3.32
Sb  0.5000  0.2413  0.7481  3 Th 3.18-3.22, 2 Pr 3.27, 1 Ac 3.32

Record 7
The following is a DFT calculation (GGA-PBE) of a geometry-optimized AcPrTlSb structure.

* E_form (uncorrected): -0.558 eV/atom

Lattice parameters (Å, degrees): 5.6882 5.6882 5.6882 60.00 60.00 60.00
Last column: nearest neighbours and their distance in Å.
Positions (direct):
Pr  0.7500  0.7500  0.7500  4 Tl 3.48, 4 Sb 3.48
Sb  0.0000  0.0000  0.0000  4 Ac 3.48, 4 Pr 3.48
Ac  0.2500  0.2500  0.2500  4 Tl 3.48, 4 Sb 3.48
Tl  0.5000  0.5000  0.5000  4 Ac 3.48, 4 Pr 3.48

Record 8
The following is a DFT calculation (GGA-PBE) of a geometry-optimized Ac4Pr6Sc structure.

Lattice parameters (Å, degrees): 9.1306 9.1308 10.0030 90.00 90.00 90.00
Last column: nearest neighbours and their distance in Å.
Positions (direct):
Ac  0.3537  0.1463  0.2500  8 Pr 3.58-3.76, 1 Ac 3.78
Ac  0.1463  0.6463  0.7500  8 Pr 3.58-3.76, 1 Ac 3.78
Ac  0.6463  0.8537  0.7500  8 Pr 3.58-3.76, 1 Ac 3.78
Ac  0.8537  0.3537  0.7500  8 Pr 3.58-3.76, 1 Ac 3.78
Ac  0.3537  0.1463  0.7500  8 Pr 3.58-3.76, 1 Ac 3.78
Ac  0.1463  0.6463  0.2500  8 Pr 3.58-3.76, 1 Ac 3.78
Ac  0.8537  0.3537  0.2500  8 Pr 3.58-3.76, 1 Ac 3.78
Ac  0.6463  0.8537  0.2500  8 Pr 3.58-3.76, 1 Ac 3.78
Pr  0.3385  0.8507  0.5000  1 Sc 3.38, 6 Ac 3.58-3.76
Pr  0.8385  0.6493  0.0000  1 Sc 3.38, 6 Ac 3.58-3.76
Pr  0.6493  0.1615  0.0000  1 Sc 3.38, 6 Ac 3.58-3.76
Pr  0.1493  0.3385  0.5000  1 Sc 3.38, 6 Ac 3.58-3.76
Pr  0.0000  0.0000  0.1684  1 Sc 3.32, 1 Pr 3.37, 4 Ac 3.59
Pr  0.5000  0.5000  0.3316  1 Sc 3.32, 1 Pr 3.37, 4 Ac 3.59
Pr  0.3507  0.8385  0.0000  1 Sc 3.38, 6 Ac 3.58-3.76
Pr  0.0000  0.0000  0.8316  1 Sc 3.32, 1 Pr 3.37, 4 Ac 3.59
Pr  0.1615  0.3507  0.0000  1 Sc 3.38, 6 Ac 3.58-3.76
Pr  0.5000  0.5000  0.6684  1 Sc 3.32, 1 Pr 3.37, 4 Ac 3.59
Pr  0.8507  0.6615  0.5000  1 Sc 3.38, 6 Ac 3.58-3.76
Pr  0.6615  0.1493  0.5000  1 Sc 3.38, 6 Ac 3.58-3.76
Sc  0.5000  0.5000  0.0000  6 Pr 3.32-3.38
Sc  0.0000  0.0000  0.5000  6 Pr 3.32-3.38

Record 9
The following is a DFT calculation (GGA-PBE) of a geometry-optimized Ac3Pr12Sc5 structure.

Lattice parameters (Å, degrees): 16.3032 16.3032 16.3032 109.47 109.47 109.47
Last column: nearest neighbours and their distance in Å.
Positions (direct):
Ac  0.7500  0.3750  0.1250  4 Pr 3.73
Ac  0.8750  0.7500  0.1250  4 Pr 3.73
Ac  0.3750  0.7500  0.6250  4 Pr 3.73
Ac  0.2500  0.1250  0.3750  4 Pr 3.73
Ac  0.8750  0.1250  0.2500  4 Pr 3.73
Ac  0.3750  0.6250  0.2500  4 Pr 3.73
Ac  0.6250  0.3750  0.7500  4 Pr 3.73
Ac  0.1250  0.8750  0.7500  4 Pr 3.73
Ac  0.7500  0.8750  0.6250  4 Pr 3.73
Ac  0.6250  0.2500  0.3750  4 Pr 3.73
Ac  0.1250  0.2500  0.8750  4 Pr 3.73
Ac  0.2500  0.6250  0.8750  4 Pr 3.73
Sc  0.1250  0.3750  0.2500  4 Pr 2.91
Sc  0.0000  0.5000  0.0000  6 Pr 2.87
Sc  0.0000  0.0000  0.0000  6 Pr 2.87
Sc  0.3750  0.2500  0.1250  4 Pr 2.91
Sc  0.5000  0.0000  0.5000  6 Pr 2.87
Sc  0.5000  0.5000  0.0000  6 Pr 2.87
Sc  0.1250  0.7500  0.3750  4 Pr 2.91
Sc  0.7500  0.1250  0.8750  4 Pr 2.91
Sc  0.7500  0.6250  0.3750  4 Pr 2.91
Sc  0.3750  0.1250  0.7500  4 Pr 2.91
Sc  0.6250  0.8750  0.2500  4 Pr 2.91
Sc  0.5000  0.5000  0.5000  6 Pr 2.87
Sc  0.5000  0.0000  0.0000  6 Pr 2.87
Sc  0.0000  0.0000  0.5000  6 Pr 2.87
Sc  0.2500  0.3750  0.6250  4 Pr 2.91
Sc  0.2500  0.8750  0.1250  4 Pr 2.91
Sc  0.0000  0.5000  0.5000  6 Pr 2.87
Sc  0.8750  0.2500  0.6250  4 Pr 2.91
Sc  0.6250  0.7500  0.8750  4 Pr 2.91
Sc  0.8750  0.6250  0.7500  4 Pr 2.91
Pr  0.6847  0.0553  0.9967  2 Sc 2.87-2.91
Pr  0.3120  0.4967  0.4415  2 Sc 2.87-2.91
Pr  0.0033  0.4447  0.3153  2 Sc 2.87-2.91
Pr  0.4967  0.1847  0.0553  2 Sc 2.87-2.91
Pr  0.6294  0.6847  0.6880  2 Sc 2.87-2.91
Pr  0.0033  0.5585  0.1880  2 Sc 2.87-2.91
Pr  0.3120  0.8153  0.3706  2 Sc 2.87-2.91
Pr  0.0585  0.8706  0.0553  2 Sc 2.87-2.91
Pr  0.5585  0.0033  0.6880  2 Sc 2.87-2.91
Pr  0.6847  0.6294  0.1880  2 Sc 2.87-2.91
Pr  0.8153  0.5033  0.4447  2 Sc 2.87-2.91
Pr  0.8120  0.9415  0.9967  2 Sc 2.87-2.91
Pr  0.0553  0.6847  0.4967  2 Sc 2.87-2.91
Pr  0.4447  0.4415  0.1294  2 Sc 2.87-2.91
Pr  0.1294  0.9415  0.4447  2 Sc 2.87-2.91
Pr  0.3706  0.0553  0.5585  2 Sc 2.87-2.91
Pr  0.1294  0.1880  0.1847  2 Sc 2.87-2.91
Pr  0.5033  0.6880  0.0585  2 Sc 2.87-2.91
Pr  0.8120  0.8706  0.3153  2 Sc 2.87-2.91
Pr  0.0553  0.3706  0.0585  2 Sc 2.87-2.91
Pr  0.4447  0.0033  0.8153  2 Sc 2.87-2.91
Pr  0.5585  0.5553  0.3706  2 Sc 2.87-2.91
Pr  0.9415  0.8120  0.4967  2 Sc 2.87-2.91
Pr  0.8153  0.3120  0.8706  2 Sc 2.87-2.91
Pr  0.4415  0.4447  0.6294  2 Sc 2.87-2.91
Pr  0.0585  0.1880  0.5033  2 Sc 2.87-2.91
Pr  0.1847  0.6880  0.1294  2 Sc 2.87-2.91
Pr  0.1880  0.1294  0.6847  2 Sc 2.87-2.91
Pr  0.5553  0.9967  0.1847  2 Sc 2.87-2.91
Pr  0.9447  0.6294  0.9415  2 Sc 2.87-2.91
Pr  0.4967  0.3120  0.9415  2 Sc 2.87-2.91
Pr  0.6294  0.9447  0.4415  2 Sc 2.87-2.91
Pr  0.8706  0.8120  0.8153  2 Sc 2.87-2.91
Pr  0.8706  0.0585  0.5553  2 Sc 2.87-2.91
Pr  0.9447  0.3153  0.5033  2 Sc 2.87-2.91
Pr  0.1880  0.0585  0.0033  2 Sc 2.87-2.91
Pr  0.5553  0.5585  0.8706  2 Sc 2.87-2.91
Pr  0.4415  0.9967  0.3120  2 Sc 2.87-2.91
Pr  0.3153  0.3706  0.8120  2 Sc 2.87-2.91
Pr  0.1847  0.4967  0.5553  2 Sc 2.87-2.91
Pr  0.9415  0.1294  0.9447  2 Sc 2.87-2.91
Pr  0.6880  0.1847  0.6294  2 Sc 2.87-2.91
Pr  0.5033  0.8153  0.9447  2 Sc 2.87-2.91
Pr  0.9967  0.4415  0.8120  2 Sc 2.87-2.91
Pr  0.3706  0.3153  0.3120  2 Sc 2.87-2.91
Pr  0.9967  0.5553  0.6847  2 Sc 2.87-2.91
Pr  0.6880  0.5033  0.5585  2 Sc 2.87-2.91
Pr  0.3153  0.9447  0.0033  2 Sc 2.87-2.91

Record 10
The following is a DFT calculation (GGA-PBE) of a geometry-optimized AcPr2Sc structure.

* offset from the most stable computed form: 0.000 eV per atom

Lattice parameters (Å, degrees): 5.2439 5.1488 5.1488 90.00 90.00 90.00
Last column: nearest neighbours and their distance in Å.
Positions (direct):
Pr  0.0000  0.0000  0.5000  4 Pr 3.64, 4 Ac 3.67, 4 Sc 3.67
Pr  0.0000  0.5000  0.0000  4 Pr 3.64, 4 Ac 3.67, 4 Sc 3.67
Sc  0.5000  0.0000  0.0000  4 Ac 3.64, 8 Pr 3.67
Ac  0.5000  0.5000  0.5000  4 Sc 3.64, 8 Pr 3.67

Record 11
The following is a DFT calculation (GGA-PBE) of a geometry-optimized Ac3Pr12Sc structure.

Lattice parameters (Å, degrees): 5.2932 5.2932 21.0751 90.00 90.00 90.00
Last column: nearest neighbours and their distance in Å.
Positions (direct):
Ac  0.0000  0.0000  0.2446  12 Pr 3.74-3.79
Ac  0.0000  0.0000  0.5000  12 Pr 3.74-3.77
Ac  0.0000  0.0000  0.7554  12 Pr 3.74-3.79
Pr  0.5000  0.5000  0.0000  8 Pr 3.60, 4 Sc 3.74
Pr  0.5000  0.5000  0.2432  4 Ac 3.74, 8 Pr 3.77-3.80
Pr  0.5000  0.5000  0.5000  4 Ac 3.74, 8 Pr 3.77
Pr  0.5000  0.5000  0.7568  4 Ac 3.74, 8 Pr 3.77-3.80
Pr  0.5000  0.0000  0.1160  2 Sc 3.60, 8 Pr 3.60-3.77, 2 Ac 3.79
Pr  0.5000  0.0000  0.3724  8 Pr 3.74-3.80, 4 Ac 3.77-3.78
Pr  0.5000  0.0000  0.6276  8 Pr 3.74-3.80, 4 Ac 3.77-3.78
Pr  0.5000  0.0000  0.8840  2 Sc 3.60, 8 Pr 3.60-3.77, 2 Ac 3.79
Pr  0.0000  0.5000  0.1160  8 Pr 3.60-3.77, 2 Sc 3.60, 2 Ac 3.79
Pr  0.0000  0.5000  0.3724  8 Pr 3.74-3.80, 4 Ac 3.77-3.78
Pr  0.0000  0.5000  0.6276  8 Pr 3.74-3.80, 4 Ac 3.77-3.78
Pr  0.0000  0.5000  0.8840  8 Pr 3.60-3.77, 2 Sc 3.60, 2 Ac 3.79
Sc  0.0000  0.0000  0.0000  12 Pr 3.60-3.74

Record 12
The following is a DFT calculation (GGA-PBE) of a geometry-optimized AcPrSc2 structure.

* offset from the most stable computed form: 0.000 eV per atom

Lattice parameters (Å, degrees): 4.4157 5.3553 5.3553 90.00 90.00 90.00
Last column: nearest neighbours and their distance in Å.
Positions (direct):
Pr  0.5000  0.5000  0.5000  8 Sc 3.47, 4 Ac 3.79
Sc  0.0000  0.0000  0.5000  4 Pr 3.47, 4 Ac 3.47, 4 Sc 3.79
Sc  0.0000  0.5000  0.0000  4 Ac 3.47, 4 Pr 3.47, 4 Sc 3.79
Ac  0.5000  0.0000  0.0000  8 Sc 3.47, 4 Pr 3.79

Across the entries above, uncorrected energy takes the values -5.53, -5.46, -5.53, -5.49, -5.19, -6.08, -4.40, -4.56, -4.17, -4.94, -4.72, -5.30 eV per atom, respectively.
Across the entries above, DOS(E_F) takes the values 0.11, 0.12, 0.12, 0.13, 0.82, 0.58, 1.18, 1.42, 1.17, 1.38, 1.68, 1.13 states/eV/atom, respectively.